(1)
This record from Alexandria via LeMat-Bulk describes TmThCoRu after structural relaxation. The functional is GGA-PBE.

Cell lengths 4.852, 4.852, 4.852 Å; angles 60.00, 60.00, 60.00 degrees
Last column: magnetic moment on the atom in μB.
Element x y z (fractional)
Ru: 0.750 0.750 0.750  0.13
Tm: 0.000 0.000 0.000  -0.10
Co: 0.250 0.250 0.250  0.67
Th: 0.500 0.500 0.500  -0.09

Summary:
total magnetic moment	0.53	μB/cell
formation energy	-0.3238	eV/atom

---

(2)
This record from Alexandria via LeMat-Bulk describes YThCoRu after structural relaxation. The functional is GGA-PBE.

Cell lengths 4.889, 4.889, 4.889 Å; angles 60.00, 60.00, 60.00 degrees
Last column: magnetic moment on the atom in μB.
Element x y z (fractional)
Y: 0.500 0.500 0.500  -0.07
Ru: 0.750 0.750 0.750  0.14
Co: 0.250 0.250 0.250  0.72
Th: 0.000 0.000 0.000  -0.11

Summary:
total magnetic moment	0.54	μB/cell
formation energy	-0.2700	eV/atom

---

(3)
This record from Alexandria via LeMat-Bulk describes Ti8Co2Ru after structural relaxation. The functional is GGA-PBE.

Cell lengths 4.704, 6.770, 6.770 Å; angles 119.12, 100.62, 100.62 degrees
Element x y z (fractional)
Ti: 0.910 0.903 0.664
Ti: 0.910 0.664 0.903
Ti: 0.319 0.621 0.621
Ti: 0.500 0.781 0.219
Ti: 0.500 0.219 0.781
Ti: 0.681 0.379 0.379
Ti: 0.090 0.336 0.097
Ti: 0.090 0.097 0.336
Co: 0.000 0.295 0.705
Co: 0.000 0.705 0.295
Ru: 0.500 0.000 0.000

Summary:
total magnetic moment	0.00	μB/cell
formation energy	-0.1436	eV/atom

---

(4)
This record from Alexandria via LeMat-Bulk describes TiCoRu2 after structural relaxation. The functional is GGA-PBE.

Cell lengths 3.711, 3.711, 8.959 Å; angles 78.05, 78.05, 90.00 degrees
Element x y z (fractional)
Ru: 0.648 0.125 0.250
Ru: 0.102 0.625 0.250
Ru: 0.375 0.352 0.750
Ru: 0.875 0.898 0.750
Co: 0.000 0.000 0.000
Co: 0.750 0.250 0.500
Ti: 0.500 0.500 0.000
Ti: 0.250 0.750 0.500

Summary:
total magnetic moment	0.00	μB/cell
formation energy	0.3065	eV/atom

---

(5)
This record from Alexandria via LeMat-Bulk describes Ti6CoRu after structural relaxation. The functional is GGA-PBE.

Cell lengths 5.564, 5.564, 5.596 Å; angles 103.59, 103.59, 120.03 degrees
Element x y z (fractional)
Ti: 0.258 0.258 0.735
Ti: 0.475 0.059 0.252
Ti: 0.742 0.742 0.265
Ti: 0.941 0.525 0.748
Ti: 0.525 0.941 0.748
Ti: 0.059 0.475 0.252
Co: 0.500 0.500 0.500
Ru: 0.000 0.000 0.000

Summary:
total magnetic moment	0.00	μB/cell
relative energy among the computed polymorphs	341	meV per atom
formation energy	0.0674	eV/atom

---

(6)
This record from Alexandria via LeMat-Bulk describes Ti3CoRu2 after structural relaxation. The functional is GGA-PBE.

Cell lengths 3.060, 3.060, 9.064 Å; angles 90.00, 90.00, 90.00 degrees
Last column: magnetic moment on the atom in μB.
Element x y z (fractional)
Ti: 0.000 0.000 0.000  0.00
Ti: 0.000 0.000 0.660  0.00
Ti: 0.000 0.000 0.340  0.00
Co: 0.500 0.500 0.500  0.12
Ru: 0.500 0.500 0.829  0.00
Ru: 0.500 0.500 0.171  0.00

Summary:
total magnetic moment	0.11	μB/cell
formation energy	-0.6292	eV/atom

---

(7)
This record from Alexandria via LeMat-Bulk describes Ti3CoRu after structural relaxation. The functional is GGA-PBE.

Cell lengths 4.394, 4.394, 4.394 Å; angles 90.00, 90.00, 90.00 degrees
Element x y z (fractional)
Ru: 0.500 0.500 0.500
Co: 0.000 0.000 0.000
Ti: 0.000 0.500 0.000
Ti: 0.000 0.000 0.500
Ti: 0.500 0.000 0.000

Summary:
total magnetic moment	0.00	μB/cell
relative energy among the computed polymorphs	0	meV per atom
formation energy	0.3613	eV/atom

---

(8)
This record from Alexandria via LeMat-Bulk describes Ti3Co2Ru after structural relaxation. The functional is GGA-PBE.

Cell lengths 4.269, 4.269, 5.232 Å; angles 90.00, 90.00, 120.00 degrees
Last column: magnetic moment on the atom in μB.
Element x y z (fractional)
Ti: 0.000 0.000 0.500  -0.05
Ti: 0.667 0.333 0.828  -0.04
Ti: 0.333 0.667 0.172  -0.04
Co: 0.667 0.333 0.336  0.90
Co: 0.333 0.667 0.664  0.90
Ru: 0.000 0.000 0.000  0.12

Summary:
total magnetic moment	1.67	μB/cell
relative energy among the computed polymorphs	4	meV per atom
formation energy	-0.4974	eV/atom

---

(9)
This record from Alexandria via LeMat-Bulk describes Ti2Co2Ru after structural relaxation. The functional is GGA-PBE.

Cell lengths 6.822, 6.822, 2.885 Å; angles 90.00, 90.00, 90.00 degrees
Element x y z (fractional)
Ru: 0.000 0.000 0.000
Ru: 0.500 0.500 0.000
Co: 0.141 0.641 0.500
Co: 0.641 0.859 0.500
Co: 0.859 0.359 0.500
Co: 0.359 0.141 0.500
Ti: 0.341 0.841 0.000
Ti: 0.841 0.659 0.000
Ti: 0.659 0.159 0.000
Ti: 0.159 0.341 0.000

Summary:
total magnetic moment	0.00	μB/cell
relative energy among the computed polymorphs	106	meV per atom
formation energy	-0.1578	eV/atom

---

(10)
This record from Alexandria via LeMat-Bulk describes Ti2CoRu2 after structural relaxation. The functional is GGA-PBE.

Cell lengths 6.980, 6.980, 3.072 Å; angles 90.00, 90.00, 90.00 degrees
Last column: magnetic moment on the atom in μB.
Element x y z (fractional)
Ru: 0.359 0.859 0.000  0.10
Ru: 0.859 0.641 0.000  0.10
Ru: 0.641 0.141 0.000  0.10
Ru: 0.141 0.359 0.000  0.10
Co: 0.000 0.000 0.000  1.55
Co: 0.500 0.500 0.000  1.56
Ti: 0.163 0.663 0.500  -0.12
Ti: 0.663 0.837 0.500  -0.12
Ti: 0.837 0.337 0.500  -0.12
Ti: 0.337 0.163 0.500  -0.12

Summary:
total magnetic moment	2.84	μB/cell
formation energy	-0.1181	eV/atom

---

(11)
This record from Alexandria via LeMat-Bulk describes Ti6CoRu after structural relaxation. The functional is GGA-PBE.

Cell lengths 4.281, 4.281, 7.384 Å; angles 73.15, 73.15, 90.00 degrees
Element x y z (fractional)
Ti: 0.750 0.750 0.500
Ti: 0.613 0.113 0.774
Ti: 0.113 0.613 0.774
Ti: 0.387 0.887 0.226
Ti: 0.250 0.250 0.500
Ti: 0.887 0.387 0.226
Co: 0.500 0.500 0.000
Ru: 0.000 0.000 0.000

Summary:
total magnetic moment	0.02	μB/cell
relative energy among the computed polymorphs	0	meV per atom
formation energy	-0.2735	eV/atom

---

(12)
This record from Alexandria via LeMat-Bulk describes Ti3Co2Ru after structural relaxation. The functional is GGA-PBE.

Cell lengths 3.037, 3.037, 8.862 Å; angles 90.00, 90.00, 90.00 degrees
Element x y z (fractional)
Ti: 0.000 0.000 0.000
Ti: 0.000 0.000 0.674
Ti: 0.000 0.000 0.326
Co: 0.500 0.500 0.838
Co: 0.500 0.500 0.162
Ru: 0.500 0.500 0.500

Summary:
total magnetic moment	0.00	μB/cell
relative energy among the computed polymorphs	0	meV per atom
formation energy	-0.5010	eV/atom

---

The lowest formation energy belongs to which entry?
Ti3CoRu2